(1)
4
Lattice="1.5295 0.8831 9.6479 -1.5295 0.8831 9.6479 0.0000 -1.7661 9.6479" Properties=species:S:1:pos:R:3 comment="CrTcSe2 | Alexandria | GGA-PBE | optimized geometry" dos_at_fermi_per_ev_cell=3.1 pbc="T T T"
Cr 0.0000 0.0000 0.0000
Tc 0.0000 0.0000 7.4726
Se 0.0000 0.0000 15.4218
Se 0.0000 0.0000 20.8976

=====

(2)
4
Lattice="3.6233 0.0000 0.0000 0.0000 3.8292 0.0000 -0.0252 0.0000 6.5137" Properties=species:S:1:pos:R:3 comment="CrTcSe2 | Alexandria | GGA-PBE | optimized geometry" dos_at_fermi_per_ev_cell=2.8 pbc="T T T"
Cr 0.0000 0.0000 0.0000
Tc 1.7863 1.9146 6.4438
Se -0.0005 1.9146 1.6060
Se 1.7864 0.0000 4.8329

=====

We find (2) to be the most stable, with the next structure 203 meV/atom higher.

=====

(1)
4
Lattice="0.0000 3.2263 3.2263 3.2263 0.0000 3.2263 3.2263 3.2263 0.0000" Properties=species:S:1:pos:R:3 comment="CrTcSe2 | Alexandria | GGA-PBE | optimized geometry" dos_at_fermi_per_ev_cell=4.5 pbc="T T T"
Cr 0.0000 0.0000 0.0000
Tc 4.8395 4.8395 4.8395
Se 1.6132 1.6132 1.6132
Se 3.2263 3.2263 3.2263

=====

(2)
4
Lattice="3.1082 -3.7972 0.0000 3.1082 3.7972 0.0000 -3.0652 0.0000 3.2469" Properties=species:S:1:pos:R:3 comment="CrTcSe2 | Alexandria | GGA-PBE | optimized geometry" dos_at_fermi_per_ev_cell=3.5 pbc="T T T"
Cr 0.0000 0.0000 0.0000
Tc 3.1082 0.0000 0.0000
Se 0.0215 1.8986 1.6235
Se 0.0215 -1.8986 1.6235

=====

We find (2) to be the most stable, with the next structure 246 meV/atom higher.

=====

(1)
4
Lattice="0.0000 3.0712 3.0712 3.0712 0.0000 3.0712 3.0712 3.0712 0.0000" Properties=species:S:1:pos:R:3 comment="CrTcSe2 | Alexandria | GGA-PBE | optimized geometry" dos_at_fermi_per_ev_cell=3.8 pbc="T T T"
Cr 0.0000 0.0000 0.0000
Tc 3.0712 3.0712 3.0712
Se 1.5356 1.5356 1.5356
Se 4.6068 4.6068 4.6068

=====

(2)
4
Lattice="1.5501 0.8949 7.4781 -1.5501 0.8949 7.4781 0.0000 -1.7898 7.4781" Properties=species:S:1:pos:R:3 comment="CrTcSe2 | Alexandria | GGA-PBE | optimized geometry" dos_at_fermi_per_ev_cell=3.2 pbc="T T T"
Cr 0.0000 0.0000 0.0000
Tc 0.0000 0.0000 11.2171
Se 0.0000 0.0000 5.6588
Se 0.0000 0.0000 16.7755

=====

We find (1) to be the most stable, with the next structure 12 meV/atom higher.

=====

(1)
5
Lattice="4.4736 0.0000 0.0000 0.0000 4.4736 0.0000 0.0000 0.0000 4.4736" Properties=species:S:1:pos:R:3 comment="CrTc3Se | Alexandria | GGA-PBE | optimized geometry" dos_at_fermi_per_ev_cell=8.9 pbc="T T T"
Cr 0.0000 0.0000 0.0000
Tc 0.0000 2.2368 2.2368
Tc 2.2368 0.0000 2.2368
Tc 2.2368 2.2368 0.0000
Se 2.2368 2.2368 2.2368

=====

(2)
5
Lattice="4.4597 0.0000 0.0000 0.0000 4.4597 0.0000 0.0000 0.0000 4.4597" Properties=species:S:1:pos:R:3 comment="CrTc3Se | Alexandria | GGA-PBE | optimized geometry" dos_at_fermi_per_ev_cell=6.8 pbc="T T T"
Cr 0.0000 0.0000 0.0000
Tc 0.0000 0.0000 2.2299
Tc 0.0000 2.2299 0.0000
Tc 2.2299 0.0000 0.0000
Se 2.2299 2.2299 2.2299

=====

We find (2) to be the most stable, with the next structure 104 meV/atom higher.

=====

(1)
5
Lattice="-2.1996 2.1996 4.0177 2.1996 -2.1996 4.0177 2.1996 2.1996 -4.0177" Properties=species:S:1:pos:R:3 comment="Cr2TcSe2 | Alexandria | GGA-PBE | optimized geometry" dos_at_fermi_per_ev_cell=5.7 pbc="T T T"
Cr 0.0000 0.0000 0.9720
Cr 0.0000 0.0000 7.0634
Tc 0.0000 0.0000 4.0177
Se 2.1996 0.0000 2.0088
Se 0.0000 2.1996 2.0088

=====

(2)
10
Lattice="6.9074 0.0000 0.0000 0.0000 6.9074 0.0000 0.0000 0.0000 3.2325" Properties=species:S:1:pos:R:3 comment="Cr2TcSe2 | Alexandria | GGA-PBE | optimized geometry" dos_at_fermi_per_ev_cell=10.0 pbc="T T T"
Cr 0.9497 2.5041 0.0000
Cr 2.5041 5.9578 0.0000
Cr 4.4034 0.9497 0.0000
Cr 5.9578 4.4034 0.0000
Tc 0.0000 0.0000 0.0000
Tc 3.4537 3.4537 0.0000
Se 1.1053 4.5590 1.6162
Se 2.3484 1.1053 1.6162
Se 4.5590 5.8021 1.6162
Se 5.8021 2.3484 1.6162

=====

We find (2) to be the most stable, with the next structure 155 meV/atom higher.

=====

(1)
5
Lattice="-2.1405 2.1405 4.8237 2.1405 -2.1405 4.8237 2.1405 2.1405 -4.8237" Properties=species:S:1:pos:R:3 comment="CrTc2Se2 | Alexandria | GGA-PBE | optimized geometry" dos_at_fermi_per_ev_cell=5.6 pbc="T T T"
Cr 0.0000 0.0000 0.0000
Tc 2.1405 0.0000 2.4118
Tc 0.0000 2.1405 2.4118
Se 0.0000 0.0000 3.5422
Se 0.0000 0.0000 6.1051

=====

(2)
10
Lattice="7.0624 0.0000 0.0000 0.0000 7.0624 0.0000 0.0000 0.0000 3.0350" Properties=species:S:1:pos:R:3 comment="CrTc2Se2 | Alexandria | GGA-PBE | optimized geometry" dos_at_fermi_per_ev_cell=12.2 pbc="T T T"
Cr 0.0000 0.0000 0.0000
Cr 3.5312 3.5312 0.0000
Tc 1.0585 2.4727 1.5175
Tc 2.4727 6.0039 1.5175
Tc 4.5897 1.0585 1.5175
Tc 6.0039 4.5897 1.5175
Se 1.1083 4.6395 0.0000
Se 2.4229 1.1083 0.0000
Se 4.6395 5.9540 0.0000
Se 5.9540 2.4229 0.0000

=====

We find (2) to be the most stable, with the next structure 197 meV/atom higher.

=====

(1)
5
Lattice="4.5244 0.0000 0.0000 0.0000 4.5244 0.0000 0.0000 0.0000 4.5244" Properties=species:S:1:pos:R:3 comment="Ti3CrSe | Alexandria | GGA-PBE | optimized geometry" dos_at_fermi_per_ev_cell=8.6 pbc="T T T"
Ti 0.0000 0.0000 2.2622
Ti 0.0000 2.2622 0.0000
Ti 2.2622 0.0000 0.0000
Cr 0.0000 0.0000 0.0000
Se 2.2622 2.2622 2.2622

=====

(2)
5
Lattice="4.5923 0.0000 0.0000 0.0000 4.5923 0.0000 0.0000 0.0000 4.5923" Properties=species:S:1:pos:R:3 comment="Ti3CrSe | Alexandria | GGA-PBE | optimized geometry" dos_at_fermi_per_ev_cell=8.2 pbc="T T T"
Ti 0.0000 0.0000 2.2961
Ti 0.0000 2.2961 0.0000
Ti 2.2961 0.0000 0.0000
Cr 2.2961 2.2961 2.2961
Se 0.0000 0.0000 0.0000

=====

We find (1) to be the most stable, with the next structure 118 meV/atom higher.

=====

(1)
4
Lattice="0.0000 3.2043 3.2043 3.2043 0.0000 3.2043 3.2043 3.2043 0.0000" Properties=species:S:1:pos:R:3 comment="TiCrSe2 | Alexandria | GGA-PBE | optimized geometry" dos_at_fermi_per_ev_cell=4.5 pbc="T T T"
Ti 0.0000 0.0000 0.0000
Cr 3.2043 3.2043 3.2043
Se 1.6021 1.6021 1.6021
Se 4.8064 4.8064 4.8064

=====

(2)
8
Lattice="-2.9600 2.9600 5.7526 2.9600 -2.9600 5.7526 2.9600 2.9600 -5.7526" Properties=species:S:1:pos:R:3 comment="TiCrSe2 | Alexandria | GGA-PBE | optimized geometry" dos_at_fermi_per_ev_cell=3.3 pbc="T T T"
Ti 0.0000 0.0000 0.0000
Ti 0.0000 2.9600 2.8763
Cr 2.9600 0.0000 2.8763
Cr 0.0000 0.0000 5.7526
Se 4.4400 1.4534 -1.4382
Se 1.4534 1.4800 1.4382
Se -1.4800 1.5066 4.3145
Se 1.5066 1.4800 7.1908

=====

(3)
4
Lattice="1.5648 0.9034 8.3873 -1.5648 0.9034 8.3873 0.0000 -1.8069 8.3873" Properties=species:S:1:pos:R:3 comment="TiCrSe2 | Alexandria | GGA-PBE | optimized geometry" dos_at_fermi_per_ev_cell=4.1 pbc="T T T"
Ti 0.0000 0.0000 0.0000
Cr 0.0000 0.0000 12.5809
Se 0.0000 0.0000 2.5608
Se 0.0000 0.0000 22.6010

=====

(4)
4
Lattice="1.7710 1.0225 8.1230 -1.7710 1.0225 8.1230 0.0000 -2.0450 8.1230" Properties=species:S:1:pos:R:3 comment="TiCrSe2 | Alexandria | GGA-PBE | optimized geometry" dos_at_fermi_per_ev_cell=2.4 pbc="T T T"
Ti 0.0000 0.0000 0.0000
Cr 0.0000 0.0000 12.1844
Se 0.0000 0.0000 9.6860
Se 0.0000 0.0000 14.6828

=====

We find (2) to be the most stable, with the next structure 19 meV/atom higher.

=====

(1)
10
Lattice="3.1395 -5.8039 0.0000 3.1395 5.8039 0.0000 -2.1672 0.0000 5.9771" Properties=species:S:1:pos:R:3 comment="TiCrSe3 | Alexandria | GGA-PBE | optimized geometry" dos_at_fermi_per_ev_cell=7.6 pbc="T T T"
Ti 3.1395 4.0368 0.0000
Ti 3.1395 -4.0368 0.0000
Cr 2.0559 1.8412 2.9886
Cr 2.0559 -1.8412 2.9886
Se -0.0601 2.1826 4.4611
Se 1.1344 0.0000 1.4515
Se -0.0601 -2.1826 4.4611
Se 4.1718 2.1826 1.5161
Se 2.9774 0.0000 4.5257
Se 4.1718 -2.1826 1.5161

=====

(2)
10
Lattice="6.3551 0.0000 0.0000 0.0000 3.6163 0.0000 -0.5620 0.0000 9.9196" Properties=species:S:1:pos:R:3 comment="TiCrSe3 | Alexandria | GGA-PBE | optimized geometry" dos_at_fermi_per_ev_cell=5.6 pbc="T T T"
Ti 0.5110 0.9041 3.1660
Ti 5.2821 2.7122 6.7536
Cr 2.4092 0.9041 6.6327
Cr 3.3839 2.7122 3.2869
Se 0.2210 0.9041 7.9427
Se 1.3009 2.7122 4.9699
Se 2.4985 0.9041 1.7810
Se 3.2945 2.7122 8.1386
Se 4.4921 0.9041 4.9497
Se 5.5721 2.7122 1.9769

=====

(3)
5
Lattice="4.9393 0.0000 0.0000 0.0000 4.9393 0.0000 0.0000 0.0000 4.9393" Properties=species:S:1:pos:R:3 comment="TiCrSe3 | Alexandria | GGA-PBE | optimized geometry" dos_at_fermi_per_ev_cell=3.5 pbc="T T T"
Ti 0.0000 0.0000 0.0000
Cr 2.4696 2.4696 2.4696
Se 0.0000 0.0000 2.4696
Se 0.0000 2.4696 0.0000
Se 2.4696 0.0000 0.0000

=====

We find (2) to be the most stable, with the next structure 16 meV/atom higher.

=====

(1)
18
Lattice="6.2330 0.0000 0.0000 0.0000 6.5092 0.0000 -6.1392 0.0000 8.8079" Properties=species:S:1:pos:R:3 comment="Ti2CrSe6 | Alexandria | GGA-PBE | optimized geometry" dos_at_fermi_per_ev_cell=6.5 pbc="T T T"
Ti -0.2236 0.8999 2.2541
Ti -3.2932 2.3547 6.6580
Ti 3.3870 4.1545 2.1499
Ti 0.3174 5.6093 6.5538
Cr -3.0696 0.0000 4.4039
Cr 0.0000 3.2546 0.0000
Se -5.0907 1.0926 8.1234
Se -2.0211 2.1620 3.7195
Se -4.0413 4.3950 8.1210
Se -0.9717 5.3688 3.7170
Se -2.0063 0.1854 6.6291
Se 1.0633 3.0692 2.2251
Se -0.9695 3.4400 6.5828
Se 2.1001 6.3238 2.1788
Se 1.0656 1.1404 5.0909
Se 4.1352 2.1142 0.6869
Se 2.1150 4.3472 5.0884
Se 5.1846 5.4166 0.6845

=====

(2)
9
Lattice="8.5581 -1.7606 0.0000 8.5581 1.7606 0.0000 -3.3041 0.0000 7.2222" Properties=species:S:1:pos:R:3 comment="Ti2CrSe6 | Alexandria | GGA-PBE | optimized geometry" dos_at_fermi_per_ev_cell=1.7 pbc="T T T"
Ti 1.6900 0.0000 2.3547
Ti 12.1221 0.0000 4.8674
Cr 8.5581 0.0000 0.0000
Se -0.7128 0.0000 1.6550
Se 4.1845 0.0000 3.1057
Se 2.8266 0.0000 6.5576
Se 10.9855 0.0000 0.6646
Se 9.6276 0.0000 4.1164
Se 14.5249 0.0000 5.5671

=====

We find (2) to be the most stable, with the next structure 183 meV/atom higher.

=====

(1)
4
Lattice="0.0000 3.4219 3.4219 3.4219 0.0000 3.4219 3.4219 3.4219 0.0000" Properties=species:S:1:pos:R:3 comment="TlCr2Se | Alexandria | GGA-PBE | optimized geometry" dos_at_fermi_per_ev_cell=3.9 pbc="T T T"
Tl 0.0000 0.0000 0.0000
Cr 1.7110 1.7110 1.7110
Cr 5.1329 5.1329 5.1329
Se 3.4219 3.4219 3.4219

=====

(2)
4
Lattice="3.2972 0.0000 0.0000 0.0000 3.2972 0.0000 0.0000 0.0000 7.2984" Properties=species:S:1:pos:R:3 comment="TlCr2Se | Alexandria | GGA-PBE | optimized geometry" dos_at_fermi_per_ev_cell=4.3 pbc="T T T"
Tl 0.0000 0.0000 0.0000
Cr 0.0000 0.0000 3.2469
Cr 1.6486 1.6486 1.8144
Se 1.6486 1.6486 4.3522

=====

(3)
4
Lattice="4.7142 0.0000 0.0000 0.0000 4.7142 0.0000 0.0000 0.0000 3.5481" Properties=species:S:1:pos:R:3 comment="TlCr2Se | Alexandria | GGA-PBE | optimized geometry" dos_at_fermi_per_ev_cell=2.1 pbc="T T T"
Tl 0.0000 0.0000 0.0000
Cr 0.0000 2.3571 1.7740
Cr 2.3571 0.0000 1.7740
Se 2.3571 2.3571 0.0000

=====

We find (2) to be the most stable, with the next structure 272 meV/atom higher.